A geometry-optimized Li4PmPd7 structure. Source: Alexandria via LeMat-Bulk, functional PBE. Values from VASP.

## Properties
Total moment = 0.0 μB/cell
Electronic total energy = -4.31 eV/atom
Crystal system = monoclinic

Cell and atoms, written as Quantum ESPRESSO input:
```
&SYSTEM
  ibrav = 0, nat = 12, ntyp = 3
/
ATOMIC_SPECIES
Li 6.94 Li.upf
Pm 145.00 Pm.upf
Pd 106.42 Pd.upf
CELL_PARAMETERS angstrom
5.179 -2.530 0.000
5.179 2.530 0.000
-4.760 0.000 7.895
ATOMIC_POSITIONS crystal
Li 0.082 0.082 0.264
Li 0.226 0.226 0.823
Li 0.774 0.774 0.177
Li 0.918 0.918 0.736
Pm 0.500 0.500 0.500
Pd 0.000 0.000 0.500
Pd 0.154 0.154 0.046
Pd 0.282 0.282 0.585
Pd 0.453 0.453 0.121
Pd 0.547 0.547 0.879
Pd 0.718 0.718 0.415
Pd 0.846 0.846 0.954
```